Compound: ThP4
Source: the Alexandria database
Functional: PBE
Structure: optimized geometry

The value obtained for the formation energy is 1.198 eV/atom. The energy is -4.61 eV per atom. The total magnetization comes out at 0.75 μB per cell.

It has space group Pm-3m (No. 221), with a = 5.4545 Å, b = 5.4545 Å, c = 5.4545 Å, α = 90.00°, β = 90.00° and γ = 90.00°. The asymmetric unit holds Th at (0.0000, 0.0000, 0.0000), P at (0.0000, 0.0000, 0.5000) and P at (0.5000, 0.5000, 0.5000).

=====

Compound: ThTi2P4
Source: the Alexandria database
Functional: PBE
Structure: optimized geometry

The value obtained for the formation energy is -1.008 eV/atom. The energy is -7.41 eV per atom. The total magnetization comes out at 0.00 μB per cell.

It has space group Cmcm (No. 63), with a = 3.7529 Å, b = 11.7344 Å, c = 11.8810 Å, α = 90.00°, β = 90.00° and γ = 90.00°. The asymmetric unit holds Th at (0.0000, 0.1076, 0.2500), Ti at (0.0000, 0.3673, 0.0547), P at (0.0000, 0.0000, 0.0000), P at (0.0000, 0.2578, 0.6228) and P at (0.0000, 0.4242, 0.2500).

=====

Compound: ThTiP
Source: the Alexandria database
Functional: PBE
Structure: optimized geometry

The value obtained for the formation energy is -0.971 eV/atom. The energy is -7.88 eV per atom. The total magnetization comes out at 0.00 μB per cell.

It has space group I4/mmm (No. 139), with a = 3.9560 Å, b = 3.9560 Å, c = 15.8354 Å, α = 90.00°, β = 90.00° and γ = 90.00°. The asymmetric unit holds Th at (0.0000, 0.0000, 0.1727), Ti at (0.0000, 0.5000, 0.0000) and P at (0.0000, 0.0000, 0.3885).

=====

Compound: TmThP
Source: the Alexandria database
Functional: PBE
Structure: optimized geometry

The value obtained for the formation energy is -0.845 eV/atom. The energy is -6.61 eV per atom. The total magnetization comes out at 0.07 μB per cell. As for the energy above the most stable polymorph in this dataset: 0 meV/atom.

It has space group P3m1 (No. 156), with a = 3.8603 Å, b = 3.8603 Å, c = 6.5300 Å, α = 90.00°, β = 90.00° and γ = 120.00°. The asymmetric unit holds Tm at (0.0000, 0.0000, 0.0000), Th at (0.6667, 0.3333, 0.4881) and P at (0.3333, 0.6667, 0.7610).

=====

Compound: Tm2ThP3
Source: the Alexandria database
Functional: PBE
Structure: optimized geometry

The value obtained for the formation energy is -1.584 eV/atom. The energy is -7.02 eV per atom. The total magnetization comes out at 0.00 μB per cell.

It has space group Immm (No. 71), with a = 4.0244 Å, b = 5.7097 Å, c = 11.9997 Å, α = 90.00°, β = 90.00° and γ = 90.00°. The asymmetric unit holds Tm at (0.0000, 0.0000, 0.1658), Th at (0.0000, 0.0000, 0.5000), P at (0.0000, 0.5000, 0.1724) and P at (0.0000, 0.5000, 0.5000).

=====

Compound: TmThP
Source: the Alexandria database
Functional: PBE
Structure: optimized geometry

The value obtained for the formation energy is -0.799 eV/atom. The energy is -6.57 eV per atom. The total magnetization comes out at 0.00 μB per cell. As for the energy above the most stable polymorph in this dataset: 46 meV/atom.

It has space group P4/mmm (No. 123), with a = 3.6118 Å, b = 3.6118 Å, c = 10.8778 Å, α = 90.00°, β = 90.00° and γ = 90.00°. The asymmetric unit holds Tm at (0.0000, 0.0000, 0.2082), Th at (0.0000, 0.0000, 0.5000), Th at (0.5000, 0.5000, 0.0000) and P at (0.5000, 0.5000, 0.3308).

=====

Compound: Tm3ThP4
Source: the Alexandria database
Functional: PBE
Structure: optimized geometry

The value obtained for the formation energy is -1.598 eV/atom. The energy is -6.91 eV per atom. The total magnetization comes out at 0.00 μB per cell.

It has space group Cmmm (No. 65), with a = 7.9930 Å, b = 11.3082 Å, c = 4.0092 Å, α = 90.00°, β = 90.00° and γ = 90.00°. The asymmetric unit holds Tm at (0.0000, 0.0000, 0.0000), Tm at (0.2500, 0.2500, 0.5000), Th at (0.0000, 0.5000, 0.0000), P at (0.0000, 0.2466, 0.0000) and P at (0.2422, 0.0000, 0.5000).

=====

Compound: TmTh5P6
Source: the Alexandria database
Functional: PBE
Structure: optimized geometry

The value obtained for the formation energy is -1.550 eV/atom. The energy is -7.72 eV per atom. The total magnetization comes out at 0.00 μB per cell.

It has space group C2/m (No. 12), with a = 7.1229 Å, b = 12.3447 Å, c = 7.1247 Å, α = 90.00°, β = 109.51° and γ = 90.00°. The asymmetric unit holds Tm at (0.0000, 0.0000, 0.0000), Th at (0.0000, 0.1675, 0.5000), Th at (0.0000, 0.3339, 0.0000), Th at (0.0000, 0.5000, 0.5000), P at (0.2442, 0.0000, 0.7532) and P at (0.2450, 0.1635, 0.2453).

=====

Compound: Tm2ThP
Source: the Alexandria database
Functional: PBE
Structure: optimized geometry

The value obtained for the formation energy is -0.463 eV/atom. The energy is -5.91 eV per atom. The total magnetization comes out at 0.00 μB per cell.

It has space group R-3m (No. 166, hexagonal axes), with a = 3.6295 Å, b = 3.6295 Å, c = 30.5512 Å, α = 90.00°, β = 90.00° and γ = 120.00°. The asymmetric unit holds Tm at (0.0000, 0.0000, 0.1130), Th at (0.0000, 0.0000, 0.0000) and P at (0.0000, 0.0000, 0.5000).

=====

Compound: Tm3Th2UP6
Source: the Alexandria database
Functional: PBE
Structure: optimized geometry

The value obtained for the formation energy is -1.464 eV/atom. The energy is -7.46 eV per atom. The total magnetization comes out at 4.95 μB per cell.

It has space group C2/m (No. 12), with a = 17.4916 Å, b = 4.0168 Å, c = 8.0269 Å, α = 90.00°, β = 103.10° and γ = 90.00°. The asymmetric unit holds Tm at (0.0000, 0.0000, 0.0000), Tm at (0.1679, 0.5000, 0.3334), Th at (0.1652, 0.5000, 0.8317), U at (0.0000, 0.0000, 0.5000), P at (0.0037, 0.5000, 0.2536), P at (0.1643, 0.0000, 0.0901) and P at (0.1658, 0.0000, 0.5738).

=====

Compound: Tm2ThUP4
Source: the Alexandria database
Functional: PBE
Structure: optimized geometry

The value obtained for the formation energy is -1.414 eV/atom. The energy is -7.58 eV per atom. The total magnetization comes out at 2.49 μB per cell.

It has space group P2/m (No. 10), with a = 6.9229 Å, b = 3.9993 Å, c = 6.9267 Å, α = 90.00°, β = 109.46° and γ = 90.00°. The asymmetric unit holds Tm at (0.0000, 0.0000, 0.0000), Tm at (0.5000, 0.5000, 0.0000), Th at (0.0000, 0.5000, 0.5000), U at (0.5000, 0.0000, 0.5000), P at (0.2557, 0.5000, 0.2464) and P at (0.2598, 0.0000, 0.7577).

=====

Compound: Y2TmThP4
Source: the Alexandria database
Functional: PBE
Structure: optimized geometry

The value obtained for the formation energy is -1.614 eV/atom. The energy is -7.42 eV per atom. The total magnetization comes out at 0.00 μB per cell.

It has space group P2/m (No. 10), with a = 6.9759 Å, b = 4.0413 Å, c = 6.9863 Å, α = 90.00°, β = 109.47° and γ = 90.00°. The asymmetric unit holds Y at (0.0000, 0.0000, 0.0000), Y at (0.5000, 0.5000, 0.0000), Tm at (0.0000, 0.5000, 0.5000), Th at (0.5000, 0.0000, 0.5000), P at (0.2439, 0.5000, 0.2470) and P at (0.2453, 0.0000, 0.7488).

=====

Compound: ThU6P8
Source: the Alexandria database
Functional: PBE
Structure: optimized geometry

The value obtained for the formation energy is -0.810 eV/atom. The energy is -8.71 eV per atom. The total magnetization comes out at 0.00 μB per cell.

It has space group R-3 (No. 148, hexagonal axes), with a = 8.4361 Å, b = 8.4361 Å, c = 15.7287 Å, α = 90.00°, β = 90.00° and γ = 120.00°. The asymmetric unit holds Th at (0.0000, 0.0000, 0.0000), U at (0.0013, 0.5948, 0.0626), P at (0.0000, 0.0000, 0.3309) and P at (0.0149, 0.2844, 0.1001).